# 1
Below is LiMg12Pd6 after structural relaxation, with properties calculated at the PBE level.

Lattice parameters (Å, degrees): 7.040 7.040 7.040 88.93 88.93 88.93
Fractional coordinates of all 19 atoms:
Li 0.000 0.000 0.000
Mg 0.807 0.539 0.426
Mg 0.426 0.807 0.539
Mg 0.539 0.426 0.807
Mg 0.193 0.461 0.574
Mg 0.574 0.193 0.461
Mg 0.461 0.574 0.193
Mg 0.006 0.143 0.361
Mg 0.857 0.639 0.994
Mg 0.639 0.994 0.857
Mg 0.994 0.857 0.639
Mg 0.143 0.361 0.006
Mg 0.361 0.006 0.143
Pd 0.713 0.885 0.264
Pd 0.736 0.287 0.115
Pd 0.115 0.736 0.287
Pd 0.287 0.115 0.736
Pd 0.264 0.713 0.885
Pd 0.885 0.264 0.713

* space group: R-3, No. 148

=====

# 2
Below is LiMgPd4 after structural relaxation, with properties calculated at the PBE level.

Lattice parameters (Å, degrees): 5.266 5.266 5.266 60.00 60.00 60.00
Fractional coordinates of all 6 atoms:
Mg 0.250 0.250 0.250
Pd 0.625 0.625 0.125
Pd 0.625 0.125 0.625
Pd 0.625 0.625 0.625
Pd 0.125 0.625 0.625
Li 0.000 0.000 0.000

* space group: F-43m, No. 216

=====

# 3
Below is LiMgPd after structural relaxation, with properties calculated at the PBE level.

Lattice parameters (Å, degrees): 3.066 3.069 11.565 105.81 105.80 89.91
Fractional coordinates of all 6 atoms:
Li 0.273 0.676 0.325
Li 0.945 0.348 0.504
Mg 0.975 0.379 0.031
Mg 0.650 0.052 0.710
Pd 0.310 0.713 0.868
Pd 0.635 0.038 0.188

* space group: Cm, No. 8

=====

# 4
Below is Li3Mg2Pd3 after structural relaxation, with properties calculated at the PBE level.

Lattice parameters (Å, degrees): 4.383 4.639 6.915 109.53 108.48 90.00
Fractional coordinates of all 8 atoms:
Li 0.614 0.114 0.228
Li 0.500 0.500 0.000
Li 0.386 0.886 0.772
Mg 0.243 0.243 0.486
Mg 0.757 0.757 0.514
Pd 0.124 0.624 0.248
Pd 0.876 0.376 0.752
Pd 0.000 0.000 0.000

* space group: C2/m, No. 12

=====

Results for magnetic moment: 0.0, 0.0, 0.0, 0.0 (in μB/cell, following the order of the records).
Results for E_form: -0.46, -0.32, -0.46, -0.46 (in eV/atom, following the order of the records).
Results for density: 4.46, 7.35, 4.55, 5.17 (in g/cm3, following the order of the records).